1.
TlNiSe2 | GGA-PBE | optimized geometry

Output
* formation energy from raw total energies: -53 meV per atom
* symmetry: No. 44

a = 8.319 Å, b = 8.319 Å, c = 8.319 Å
α = 157.09°, β = 156.78°, γ = 32.84°
Fractional positions:
Tl1 0.000 0.000 0.000
Ni1 0.245 0.745 0.500
Se1 0.355 0.355 0.000
Se2 0.683 0.183 0.500


2.
Rb4DyTh3Te8 | GGA-PBE | optimized geometry

Output
* formation energy from raw total energies: -1211 meV per atom
* symmetry: No. 166

a = 10.180 Å, b = 10.180 Å, c = 10.180 Å
α = 52.53°, β = 52.53°, γ = 52.53°
Fractional positions:
Rb1 0.000 0.000 0.000
Rb2 0.000 0.500 0.500
Rb3 0.500 0.000 0.500
Rb4 0.500 0.500 0.000
Dy1 0.500 0.500 0.500
Th1 0.000 0.000 0.500
Th2 0.000 0.500 0.000
Th3 0.500 0.000 0.000
Te1 0.237 0.237 0.237
Te2 0.241 0.733 0.733
Te3 0.267 0.267 0.759
Te4 0.267 0.759 0.267
Te5 0.733 0.241 0.733
Te6 0.733 0.733 0.241
Te7 0.759 0.267 0.267
Te8 0.763 0.763 0.763


3.
ZrTa2Fe2 | GGA-PBE | optimized geometry

Output
* formation enthalpy at 0 K: 0.09 eV/atom
* offset from the most stable computed form: 127 meV per atom
* symmetry: No. 127

a = 7.495 Å, b = 7.495 Å, c = 2.845 Å
α = 90.00°, β = 90.00°, γ = 90.00°
Fractional positions:
Zr1 0.000 0.000 0.000
Zr2 0.500 0.500 0.000
Ta1 0.147 0.353 0.000
Ta2 0.353 0.853 0.000
Ta3 0.647 0.147 0.000
Ta4 0.853 0.647 0.000
Fe1 0.144 0.644 0.500
Fe2 0.356 0.144 0.500
Fe3 0.644 0.856 0.500
Fe4 0.856 0.356 0.500


- Which formula does entry 2 have?
  Rb4DyTh3Te8